No. 1
# BaZn2Ag4

BaZn2Ag4 after structural relaxation (GGA-PBE, the Alexandria database).

**Crystal system**: monoclinic
**Energy of formation**: -0.11 eV/atom
**Distance to the lowest polymorph of the same formula**: 0 meV/atom

Unit cell a=9.149 b=7.314 c=5.535 alpha=90.00 beta=127.12 gamma=90.00
Space group C2/m (No. 12)
Inequivalent atoms, fractional coordinates:
1 Ba 0.000 0.000 0.000 x2
2 Zn 0.000 0.500 0.250 x4
3 Ag 0.194 0.194 0.694 x8

No. 2
# LiZnAsAu

LiZnAsAu after structural relaxation (GGA-PBE, the Alexandria database).

**Crystal system**: cubic
**Energy of formation**: -0.23 eV/atom

Unit cell a=6.420 b=6.420 c=6.420 alpha=90.00 beta=90.00 gamma=90.00
Space group F-43m (No. 216)
Inequivalent atoms, fractional coordinates:
1 Li 0.000 0.000 0.000 x4
2 Zn 0.000 0.000 0.500 x4
3 As 0.250 0.250 0.750 x4
4 Au 0.250 0.250 0.250 x4

No. 3
# Ti5Ga4Si

Ti5Ga4Si after structural relaxation (GGA-PBE, the Alexandria database).

**Total DFT energy (no corrections)**: -117.43 eV/cell
**Crystal system**: tetragonal

Unit cell a=8.216 b=8.216 c=5.196 alpha=90.00 beta=90.00 gamma=90.00
Space group I4/m (No. 87)
Inequivalent atoms, fractional coordinates:
1 Ti 0.000 0.000 0.000 x2
2 Ti 0.099 0.288 0.500 x8
3 Ga 0.094 0.303 0.000 x8
4 Si 0.000 0.000 0.500 x2

No. 4
# VSi2HgP

VSi2HgP after structural relaxation (GGA-PBE, the Alexandria database).

**Total DFT energy (no corrections)**: -23.96 eV/cell
**Crystal system**: tetragonal

Unit cell a=4.725 b=4.725 c=4.495 alpha=90.00 beta=90.00 gamma=90.00
Space group P4/mmm (No. 123)
Inequivalent atoms, fractional coordinates:
1 V 0.000 0.000 0.000 x1
2 Si 0.000 0.500 0.000 x2
3 Hg 0.500 0.500 0.500 x1
4 P 0.000 0.000 0.500 x1

No. 5
# Y5SbTe5

Y5SbTe5 after structural relaxation (GGA-PBE, the Alexandria database).

**Total DFT energy (no corrections)**: -134.72 eV/cell
**Crystal system**: monoclinic

Unit cell a=13.738 b=6.189 c=8.687 alpha=90.00 beta=108.44 gamma=90.00
Space group C2/m (No. 12)
Inequivalent atoms, fractional coordinates:
1 Y 0.000 0.000 0.000 x2
2 Y 0.163 0.500 0.332 x4
3 Y 0.164 0.500 0.832 x4
4 Sb 0.000 0.500 0.000 x2
5 Te 0.000 0.500 0.500 x2
6 Te 0.165 0.000 0.337 x4
7 Te 0.165 0.000 0.828 x4

No. 6
# Na10B17C3

Na10B17C3 after structural relaxation (GGA-PBE, the Alexandria database).

**Crystal system**: monoclinic
**Energy of formation**: 0.22 eV/atom
**Distance to the lowest polymorph of the same formula**: 11 meV/atom

Unit cell a=18.165 b=2.823 c=13.812 alpha=90.00 beta=112.25 gamma=90.00
Space group Cm (No. 8)
Inequivalent atoms, fractional coordinates:
1 Na 0.000 0.000 0.000 x2
2 Na 0.000 0.000 0.498 x2
3 Na 0.099 0.500 0.698 x2
4 Na 0.101 0.500 0.201 x2
5 Na 0.198 0.000 0.400 x2
6 Na 0.199 0.000 0.900 x2
7 Na 0.299 0.500 0.100 x2
8 Na 0.299 0.500 0.598 x2
9 Na 0.399 0.000 0.798 x2
10 Na 0.400 0.000 0.300 x2
11 B 0.030 0.000 0.811 x2
12 B 0.064 0.500 0.379 x2
13 B 0.070 0.500 0.891 x2
14 B 0.130 0.500 0.511 x2
15 B 0.133 0.500 0.018 x2
16 B 0.171 0.000 0.095 x2
17 B 0.171 0.000 0.591 x2
18 B 0.236 0.000 0.225 x2
19 B 0.261 0.500 0.772 x2
20 B 0.325 0.500 0.400 x2
21 B 0.327 0.500 0.904 x2
22 B 0.365 0.000 0.480 x2
23 B 0.369 0.000 0.989 x2
24 B 0.427 0.000 0.604 x2
25 B 0.431 0.000 0.115 x2
26 B 0.468 0.500 0.686 x2
27 B 0.474 0.500 0.200 x2
28 C 0.033 0.000 0.316 x2
29 C 0.230 0.000 0.711 x2
30 C 0.266 0.500 0.284 x2

No. 7
# Cs3Rb3Cd

Cs3Rb3Cd after structural relaxation (GGA-PBE, the Alexandria database).

**Crystal system**: hexagonal
**Energy of formation**: 0.01 eV/atom

Unit cell a=15.4870 b=15.4870 c=6.0304 alpha=90.00 beta=90.00 gamma=120.00
Space group P6_3/mmc (No. 194)
Inequivalent atoms, fractional coordinates:
1 Cs 0.1657 0.3313 0.2500 x6
2 Rb 0.1341 0.5670 0.7500 x6
3 Cd 0.3333 0.6667 0.2500 x2

No. 8
# LaGe2Ru

LaGe2Ru after structural relaxation (GGA-PBE, the Alexandria database).

**Crystal system**: trigonal
**Energy of formation**: -0.63 eV/atom

Unit cell a=4.2499 b=4.2499 c=15.8520 alpha=90.00 beta=90.00 gamma=120.00
Space group R-3m (No. 166, hexagonal axes)
Inequivalent atoms, fractional coordinates:
1 La 0.0000 0.0000 0.0000 x3
2 Ge 0.0000 0.0000 0.2143 x6
3 Ru 0.0000 0.0000 0.5000 x3

No. 9
# LaCoGe2Ir

LaCoGe2Ir after structural relaxation (GGA-PBE, the Alexandria database).

**Crystal system**: tetragonal
**Energy of formation**: -0.68 eV/atom

Unit cell a=4.136 b=4.136 c=10.658 alpha=90.00 beta=90.00 gamma=90.00
Space group I-4m2 (No. 119)
Inequivalent atoms, fractional coordinates:
1 La 0.000 0.000 0.000 x2
2 Co 0.000 0.500 0.750 x2
3 Ge 0.000 0.000 0.371 x4
4 Ir 0.000 0.500 0.250 x2

No. 10
# NaSrCrCl6

NaSrCrCl6 after structural relaxation (GGA-PBE, the Alexandria database).

**Total DFT energy (no corrections)**: -38.84 eV/cell
**Crystal system**: trigonal

Unit cell a=6.8554 b=6.8554 c=6.1530 alpha=90.00 beta=90.00 gamma=120.00
Space group P312 (No. 149)
Inequivalent atoms, fractional coordinates:
1 Na 0.0000 0.0000 0.0000 x1
2 Sr 0.6667 0.3333 0.5000 x1
3 Cr 0.3333 0.6667 0.5000 x1
4 Cl 0.0553 0.3825 0.2723 x6

No. 11
# K2Cd12Ag3Sn

K2Cd12Ag3Sn after structural relaxation (GGA-PBE, the Alexandria database).

**Crystal system**: trigonal
**Energy of formation**: 0.05 eV/atom

Unit cell a=7.2927 b=7.2927 c=32.6061 alpha=90.00 beta=90.00 gamma=120.00
Space group R-3m (No. 166, hexagonal axes)
Inequivalent atoms, fractional coordinates:
1 K 0.0000 0.0000 0.1446 x6
2 Cd 0.0014 0.5007 0.0984 x18
3 Cd 0.0701 0.5350 0.6208 x18
4 Ag 0.0000 0.5000 0.0000 x9
5 Sn 0.0000 0.0000 0.5000 x3

No. 12
# La2PmGe3Ir4

La2PmGe3Ir4 after structural relaxation (GGA-PBE, the Alexandria database).

**Crystal system**: tetragonal
**Energy of formation**: -0.77 eV/atom

Unit cell a=4.252 b=4.252 c=11.401 alpha=90.00 beta=90.00 gamma=90.00
Space group P-4m2 (No. 115)
Inequivalent atoms, fractional coordinates:
1 La 0.000 0.500 0.231 x2
2 Pm 0.000 0.000 0.500 x1
3 Ge 0.000 0.500 0.882 x2
4 Ge 0.500 0.500 0.500 x1
5 Ir 0.000 0.000 0.000 x1
6 Ir 0.000 0.500 0.665 x2
7 Ir 0.500 0.500 0.000 x1

No. 13
# Ag2PtAu5

Ag2PtAu5 after structural relaxation (GGA-PBE, the Alexandria database).

**Crystal system**: tetragonal
**Energy of formation**: 0.11 eV/atom
**Distance to the lowest polymorph of the same formula**: 129 meV/atom

Unit cell a=7.184 b=7.184 c=11.363 alpha=90.00 beta=90.00 gamma=90.00
Space group I4/mcm (No. 140)
Inequivalent atoms, fractional coordinates:
1 Ag 0.144 0.356 0.000 x8
2 Pt 0.000 0.000 0.250 x4
3 Au 0.000 0.000 0.000 x4
4 Au 0.151 0.349 0.335 x16

No. 14
# Cs3Ag2PbBr9

Cs3Ag2PbBr9 after structural relaxation (GGA-PBE, the Alexandria database).

**Total DFT energy (no corrections)**: -42.35 eV/cell
**Crystal system**: trigonal

Unit cell a=7.9548 b=7.9548 c=9.7886 alpha=90.00 beta=90.00 gamma=120.00
Space group P-3m1 (No. 164)
Inequivalent atoms, fractional coordinates:
1 Cs 0.0000 0.0000 0.0000 x1
2 Cs 0.3333 0.6667 0.6767 x2
3 Ag 0.3333 0.6667 0.1552 x2
4 Pb 0.0000 0.0000 0.5000 x1
5 Br 0.0000 0.5000 0.0000 x3
6 Br 0.1718 0.3437 0.3279 x6

No. 15
# Ti6H3CN2

Ti6H3CN2 after structural relaxation (GGA-PBE, the Alexandria database).

**Total DFT energy (no corrections)**: -190.43 eV/cell
**Crystal system**: monoclinic

Unit cell a=12.789 b=3.055 c=6.068 alpha=90.00 beta=101.93 gamma=90.00
Space group C2/m (No. 12)
Inequivalent atoms, fractional coordinates:
1 Ti 0.002 0.000 0.239 x4
2 Ti 0.167 0.500 0.100 x4
3 Ti 0.168 0.500 0.570 x4
4 H 0.000 0.500 0.500 x2
5 H 0.167 0.000 0.831 x4
6 C 0.000 0.500 0.000 x2
7 N 0.167 0.000 0.335 x4

No. 16
# Rb2Pa3HgSe8

Rb2Pa3HgSe8 after structural relaxation (GGA-PBE, the Alexandria database).

**Total DFT energy (no corrections)**: -227.89 eV/cell
**Crystal system**: trigonal

Unit cell a=8.4829 b=8.4829 c=25.6632 alpha=90.00 beta=90.00 gamma=120.00
Space group R3m (No. 160, hexagonal axes)
Inequivalent atoms, fractional coordinates:
1 Rb 0.0000 0.0000 0.0000 x3
2 Rb 0.0000 0.0000 0.3626 x3
3 Pa 0.1678 0.3356 0.1949 x9
4 Hg 0.0000 0.0000 0.7225 x3
5 Se 0.0000 0.0000 0.1352 x3
6 Se 0.0000 0.0000 0.5875 x3
7 Se 0.0258 0.5129 0.1376 x9
8 Se 0.1818 0.3635 0.9202 x9

No. 17
# La14SmPu

La14SmPu after structural relaxation (GGA-PBE, the Alexandria database).

**Crystal system**: orthorhombic
**Energy of formation**: 0.03 eV/atom

Unit cell a=10.415 b=10.443 c=10.446 alpha=90.00 beta=90.00 gamma=90.00
Space group Amm2 (No. 38)
Inequivalent atoms, fractional coordinates:
1 La 0.000 0.000 0.000 x2
2 La 0.000 0.000 0.500 x2
3 La 0.000 0.243 0.249 x4
4 La 0.247 0.000 0.747 x4
5 La 0.257 0.246 0.500 x8
6 La 0.265 0.000 0.256 x4
7 La 0.500 0.240 0.748 x4
8 Sm 0.500 0.000 0.000 x2
9 Pu 0.500 0.000 0.500 x2

No. 18
# Cs4Cd5As6

Cs4Cd5As6 after structural relaxation (GGA-PBE, the Alexandria database).

**Crystal system**: orthorhombic
**Energy of formation**: -0.27 eV/atom

Unit cell a=4.690 b=21.174 c=20.169 alpha=90.00 beta=90.00 gamma=90.00
Space group Cmcm (No. 63)
Inequivalent atoms, fractional coordinates:
1 Cs 0.000 0.013 0.125 x8
2 Cs 0.000 0.191 0.071 x8
3 Cd 0.000 0.116 0.750 x4
4 Cd 0.000 0.262 0.750 x4
5 Cd 0.000 0.376 0.128 x8
6 Cd 0.000 0.414 0.750 x4
7 As 0.000 0.154 0.250 x4
8 As 0.000 0.190 0.633 x8
9 As 0.000 0.445 0.004 x8
10 As 0.000 0.455 0.250 x4

No. 19
# YTa2As

YTa2As after structural relaxation (GGA-PBE, the Alexandria database).

**Crystal system**: orthorhombic
**Energy of formation**: -0.08 eV/atom

Unit cell a=3.741 b=5.035 c=8.635 alpha=90.00 beta=90.00 gamma=90.00
Space group Cmm2 (No. 35)
Inequivalent atoms, fractional coordinates:
1 Y 0.000 0.000 0.000 x2
2 Ta 0.000 0.000 0.530 x2
3 Ta 0.000 0.500 0.291 x2
4 As 0.000 0.500 0.742 x2

No. 20
# KRb2AsN

KRb2AsN after structural relaxation (GGA-PBE, the Alexandria database).

**Total DFT energy (no corrections)**: -10.46 eV/cell
**Crystal system**: tetragonal

Unit cell a=7.205 b=7.205 c=5.530 alpha=90.00 beta=90.00 gamma=90.00
Space group P4/mmm (No. 123)
Inequivalent atoms, fractional coordinates:
1 K 0.000 0.000 0.000 x1
2 Rb 0.000 0.500 0.000 x2
3 As 0.000 0.000 0.500 x1
4 N 0.500 0.500 0.500 x1